1.
Here is crystalline Sc3ClF at its relaxed geometry from Alexandria via LeMat-Bulk. Energies are from PBE.

## Properties
E_tot ... -0.189 hartree per atom
Symmetry ... Pm-3m, No. 221
Fermi-level density of states ... 7.768 states/eV per cell
Calculated volume ... 19.36 A^3/atom
Crystal system ... cubic
Energy relative to the lowest polymorph listed for this composition ... 0.0 meV per atom
Formation energy from raw total energies ... -0.588 eV/atom

Cell lengths 4.592, 4.592, 4.592 Å; angles 90.00, 90.00, 90.00 degrees
Positions (direct):
Sc: 0.000 0.000 0.500
Sc: 0.000 0.500 0.000
Sc: 0.500 0.000 0.000
Cl: 0.500 0.500 0.500
F: 0.000 0.000 0.000

2.
Here is crystalline ScCl2F at its relaxed geometry from Alexandria via LeMat-Bulk. Energies are from PBE.

## Properties
E_tot ... -0.205 hartree per atom
Symmetry ... I-42d, No. 122
Fermi-level density of states ... 0.000 states/eV per cell
Calculated volume ... 21.78 A^3/atom
Crystal system ... tetragonal
Energy relative to the lowest polymorph listed for this composition ... 119.5 meV per atom
Formation energy from raw total energies ... -2.612 eV/atom

Cell lengths 6.857, 6.857, 6.857 Å; angles 95.03, 95.03, 145.54 degrees
Positions (direct):
Sc: 0.000 0.000 0.000
Sc: 0.750 0.250 0.500
Cl: 0.375 0.216 0.341
Cl: 0.784 0.125 0.159
Cl: 0.875 0.034 0.659
Cl: 0.966 0.625 0.841
F: 0.250 0.750 0.500
F: 0.500 0.500 0.000

3.
Here is crystalline ScClF3 at its relaxed geometry from Alexandria via LeMat-Bulk. Energies are from PBE.

## Properties
E_tot ... -0.129 hartree per atom
Symmetry ... Pm-3m, No. 221
Fermi-level density of states ... 4.315 states/eV per cell
Calculated volume ... 17.54 A^3/atom
Crystal system ... cubic
Energy relative to the lowest polymorph listed for this composition ... 2016.1 meV per atom
Formation energy from raw total energies ... -0.752 eV/atom

Cell lengths 4.443, 4.443, 4.443 Å; angles 90.00, 90.00, 90.00 degrees
Positions (direct):
Sc: 0.000 0.000 0.000
Cl: 0.500 0.500 0.500
F: 0.000 0.500 0.500
F: 0.500 0.000 0.500
F: 0.500 0.500 0.000

4.
Here is crystalline ScCl2F at its relaxed geometry from Alexandria via LeMat-Bulk. Energies are from PBE.

## Properties
E_tot ... -0.210 hartree per atom
Symmetry ... C2/m, No. 12
Fermi-level density of states ... 0.000 states/eV per cell
Calculated volume ... 26.32 A^3/atom
Crystal system ... monoclinic
Energy relative to the lowest polymorph listed for this composition ... 0.0 meV per atom
Formation energy from raw total energies ... -2.731 eV/atom

Cell lengths 7.307, 7.307, 4.062 Å; angles 91.03, 91.03, 29.05 degrees
Positions (direct):
Sc: 0.000 0.000 0.000
Cl: 0.379 0.379 0.992
Cl: 0.621 0.621 0.008
F: 0.000 0.000 0.500

5.
Here is crystalline ScClF3 at its relaxed geometry from Alexandria via LeMat-Bulk. Energies are from PBE.

## Properties
E_tot ... -0.203 hartree per atom
Symmetry ... Pm-3m, No. 221
Fermi-level density of states ... 7.786 states/eV per cell
Calculated volume ... 14.47 A^3/atom
Crystal system ... cubic
Energy relative to the lowest polymorph listed for this composition ... 0.0 meV per atom
Formation energy from raw total energies ... -2.768 eV/atom

Cell lengths 4.167, 4.167, 4.167 Å; angles 90.00, 90.00, 90.00 degrees
Positions (direct):
Sc: 0.000 0.000 0.000
Cl: 0.500 0.500 0.500
F: 0.000 0.000 0.500
F: 0.000 0.500 0.000
F: 0.500 0.000 0.000

6.
Here is crystalline ScCl2F at its relaxed geometry from Alexandria via LeMat-Bulk. Energies are from PBE.

## Properties
E_tot ... -0.168 hartree per atom
Symmetry ... R-3m, No. 166
Fermi-level density of states ... 0.012 states/eV per cell
Calculated volume ... 21.81 A^3/atom
Crystal system ... trigonal
Energy relative to the lowest polymorph listed for this composition ... 1136.3 meV per atom
Formation energy from raw total energies ... -1.595 eV/atom

Cell lengths 7.682, 7.682, 7.682 Å; angles 27.83, 27.83, 27.83 degrees
Positions (direct):
Sc: 0.000 0.000 0.000
Cl: 0.396 0.396 0.396
Cl: 0.604 0.604 0.604
F: 0.500 0.500 0.500

7.
Here is crystalline ScTa2ClF at its relaxed geometry from Alexandria via LeMat-Bulk. Energies are from PBE.

## Properties
E_tot ... -0.239 hartree per atom
Symmetry ... P4/mmm, No. 123
Fermi-level density of states ... 4.556 states/eV per cell
Calculated volume ... 18.74 A^3/atom
Crystal system ... tetragonal
Formation energy from raw total energies ... 0.255 eV/atom

Cell lengths 4.188, 4.188, 5.344 Å; angles 90.00, 90.00, 90.00 degrees
Positions (direct):
Sc: 0.000 0.000 0.000
Ta: 0.000 0.500 0.500
Ta: 0.500 0.000 0.500
Cl: 0.500 0.500 0.000
F: 0.000 0.000 0.500

8.
Here is crystalline Sc2TcClF at its relaxed geometry from Alexandria via LeMat-Bulk. Energies are from PBE.

## Properties
E_tot ... -0.198 hartree per atom
Symmetry ... P4/mmm, No. 123
Fermi-level density of states ... 4.024 states/eV per cell
Calculated volume ... 20.93 A^3/atom
Crystal system ... tetragonal
Formation energy from raw total energies ... -0.040 eV/atom

Cell lengths 4.781, 4.781, 4.577 Å; angles 90.00, 90.00, 90.00 degrees
Positions (direct):
Sc: 0.000 0.500 0.000
Sc: 0.500 0.000 0.000
Tc: 0.000 0.000 0.500
Cl: 0.500 0.500 0.000
F: 0.500 0.500 0.500

9.
Here is crystalline ScZnClF2 at its relaxed geometry from Alexandria via LeMat-Bulk. Energies are from PBE.

## Properties
E_tot ... -0.180 hartree per atom
Symmetry ... P4/mmm, No. 123
Fermi-level density of states ... 1.732 states/eV per cell
Calculated volume ... 18.15 A^3/atom
Crystal system ... tetragonal
Formation energy from raw total energies ... -2.250 eV/atom

Cell lengths 4.203, 4.203, 5.138 Å; angles 90.00, 90.00, 90.00 degrees
Positions (direct):
Sc: 0.000 0.000 0.000
Zn: 0.500 0.500 0.500
Cl: 0.000 0.000 0.500
F: 0.000 0.500 0.000
F: 0.500 0.000 0.000

10.
Here is crystalline SeClF2 at its relaxed geometry from Alexandria via LeMat-Bulk. Energies are from PBE.

## Properties
E_tot ... -0.098 hartree per atom
Symmetry ... I-42d, No. 122
Fermi-level density of states ... 4.040 states/eV per cell
Calculated volume ... 17.20 A^3/atom
Crystal system ... tetragonal
Energy relative to the lowest polymorph listed for this composition ... 750.8 meV per atom
Formation energy from raw total energies ... -0.388 eV/atom

Cell lengths 7.656, 7.656, 7.656 Å; angles 146.29, 146.29, 48.41 degrees
Positions (direct):
Se: 0.000 0.000 0.000
Se: 0.750 0.250 0.500
Cl: 0.250 0.750 0.500
Cl: 0.500 0.500 0.000
F: 0.375 0.197 0.322
F: 0.803 0.125 0.178
F: 0.875 0.053 0.678
F: 0.947 0.625 0.822

11.
Here is crystalline SeClF2 at its relaxed geometry from Alexandria via LeMat-Bulk. Energies are from PBE.

## Properties
E_tot ... -0.090 hartree per atom
Symmetry ... R-3m, No. 166
Fermi-level density of states ... 2.872 states/eV per cell
Calculated volume ... 17.15 A^3/atom
Crystal system ... trigonal
Energy relative to the lowest polymorph listed for this composition ... 963.7 meV per atom
Formation energy from raw total energies ... -0.175 eV/atom

Cell lengths 9.271, 9.271, 9.271 Å; angles 18.30, 18.30, 18.30 degrees
Positions (direct):
Se: 0.000 0.000 0.000
Cl: 0.500 0.500 0.500
F: 0.435 0.435 0.435
F: 0.565 0.565 0.565

12.
Here is crystalline SeCl2F at its relaxed geometry from Alexandria via LeMat-Bulk. Energies are from PBE.

## Properties
E_tot ... -0.079 hartree per atom
Symmetry ... I-42d, No. 122
Fermi-level density of states ... 7.785 states/eV per cell
Calculated volume ... 24.18 A^3/atom
Crystal system ... tetragonal
Energy relative to the lowest polymorph listed for this composition ... 10.2 meV per atom
Formation energy from raw total energies ... 0.107 eV/atom

Cell lengths 8.230, 8.230, 8.230 Å; angles 143.79, 143.79, 52.15 degrees
Positions (direct):
Se: 0.000 0.000 0.000
Se: 0.750 0.250 0.500
Cl: 0.067 0.625 0.942
Cl: 0.375 0.317 0.442
Cl: 0.683 0.125 0.058
Cl: 0.875 0.933 0.558
F: 0.250 0.750 0.500
F: 0.500 0.500 0.000